Computed, not measured: a relaxed structure of MgMoF3 at the PBE with a Hubbard U level of DFT.

Values from the calculation:
Total DFT energy (no corrections) = -22.6 eV/cell
Relative energy among the computed polymorphs = 562 meV/atom
DOS(E_F) = 1.7 states/eV/f.u.
Volume = 84.86 Å³/cell

a b c (Å): 4.3944 4.3944 4.3944
angles (deg): 90.00 90.00 90.00
Last column: magnetic moment on the atom in μB.
Atoms (fractional coordinates):
Mo 0.0000 0.0000 0.0000  3.16
Mg 0.5000 0.5000 0.5000  -0.10
F 0.0000 0.5000 0.0000  -0.01
F 0.0000 0.0000 0.5000  -0.01
F 0.5000 0.0000 0.0000  0.02